(1)
First-principles (GGA-PBE) data for a relaxed AsWAu2 crystal, as listed in the Alexandria database.

Cell: 3.877 3.877 4.625 Å, 90.00 90.00 90.00°
Sites, in units of the cell vectors:
1 As 0.000 0.000 0.000
2 W 0.500 0.500 0.000
3 Au 0.000 0.500 0.500
4 Au 0.500 0.000 0.500

Values from the calculation:
* mass density: 15.592 Mg/m³
* N(E_F): 0.929 states/eV/atom
* space group: P4/mmm, No. 123
* E: -21.85 eV/f.u.
* formation energy from the elements: 0.58 eV/atom

=====

(2)
First-principles (GGA-PBE) data for a relaxed AsW4Au crystal, as listed in the Alexandria database.

Cell: 5.330 5.330 5.330 Å, 60.00 60.00 60.00°
Sites, in units of the cell vectors:
1 As 0.000 0.000 0.000
2 W 0.377 0.377 0.377
3 W 0.377 0.377 0.870
4 W 0.377 0.870 0.377
5 W 0.870 0.377 0.377
6 Au 0.750 0.750 0.750

Values from the calculation:
* mass density: 15.621 Mg/m³
* N(E_F): 0.932 states/eV/atom
* space group: F-43m, No. 216
* E: -54.73 eV/f.u.
* formation energy from the elements: 0.84 eV/atom

=====

(3)
First-principles (GGA-PBE) data for a relaxed AsWAu2 crystal, as listed in the Alexandria database.

Cell: 3.016 3.016 27.196 Å, 90.00 90.00 120.00°
Sites, in units of the cell vectors:
1 As 0.000 0.000 0.000
2 As 0.333 0.667 0.667
3 As 0.667 0.333 0.333
4 W 0.000 0.000 0.264
5 W 0.333 0.667 0.931
6 W 0.667 0.333 0.597
7 Au 0.000 0.000 0.515
8 Au 0.000 0.000 0.761
9 Au 0.333 0.667 0.181
10 Au 0.333 0.667 0.427
11 Au 0.667 0.333 0.094
12 Au 0.667 0.333 0.848

Values from the calculation:
* mass density: 15.175 Mg/m³
* N(E_F): 0.808 states/eV/atom
* space group: R3m, No. 160
* E: -23.14 eV/f.u.
* formation energy from the elements: 0.26 eV/atom

=====

(4)
First-principles (GGA-PBE) data for a relaxed AsW2Au crystal, as listed in the Alexandria database.

Cell: 9.213 3.182 4.795 Å, 90.00 99.80 90.00°
Sites, in units of the cell vectors:
1 As 0.000 0.000 0.000
2 As 0.500 0.500 0.000
3 W 0.255 0.500 0.242
4 W 0.473 0.000 0.425
5 W 0.755 0.000 0.242
6 W 0.973 0.500 0.425
7 Au 0.222 0.000 0.714
8 Au 0.722 0.500 0.714

Values from the calculation:
* mass density: 15.333 Mg/m³
* N(E_F): 0.455 states/eV/atom
* space group: Cm, No. 8
* E: -31.89 eV/f.u.
* formation energy from the elements: 0.49 eV/atom

=====

(5)
First-principles (GGA-PBE) data for a relaxed AsWAu crystal, as listed in the Alexandria database.

Cell: 4.497 4.507 5.512 Å, 90.00 113.52 90.00°
Sites, in units of the cell vectors:
1 As 0.000 0.000 0.000
2 As 0.500 0.500 0.000
3 W 0.377 0.000 0.747
4 W 0.877 0.500 0.747
5 Au 0.193 0.500 0.376
6 Au 0.693 0.000 0.376

Values from the calculation:
* mass density: 14.775 Mg/m³
* excess energy over the best structure of this formula in the dataset: 31 meV per atom
* N(E_F): 0.479 states/eV/atom
* space group: Cm, No. 8
* E: -19.80 eV/f.u.
* formation energy from the elements: 0.36 eV/atom

=====

(6)
First-principles (GGA-PBE) data for a relaxed AsW2Au crystal, as listed in the Alexandria database.

Cell: 3.158 4.592 4.641 Å, 90.00 90.00 90.00°
Sites, in units of the cell vectors:
1 As 0.000 0.000 0.000
2 W 0.000 0.500 0.500
3 W 0.500 0.000 0.500
4 Au 0.500 0.500 0.000

Values from the calculation:
* mass density: 15.781 Mg/m³
* N(E_F): 0.848 states/eV/atom
* space group: Pmmm, No. 47
* E: -31.34 eV/f.u.
* formation energy from the elements: 0.62 eV/atom